Below is crystalline La3Er2Tl3 at its relaxed geometry, with properties calculated at the PBE level.

Calculated values
As for the density of states at the Fermi level: 1.1761 states/eV per atom. Its space group is No. 193. The calculation puts the offset from the most stable computed form at 0 meV/atom. The formation energy from the elements is -2.539 eV per formula unit.

Cell: 9.344 9.344 6.747 Å, 90.00 90.00 120.00°
Fractional coordinates of all 16 atoms:
La: 0.000 0.244 0.250
La: 0.000 0.756 0.750
La: 0.244 0.000 0.250
La: 0.244 0.244 0.750
La: 0.756 0.000 0.750
La: 0.756 0.756 0.250
Er: 0.333 0.667 0.000
Er: 0.333 0.667 0.500
Er: 0.667 0.333 0.000
Er: 0.667 0.333 0.500
Tl: 0.000 0.405 0.750
Tl: 0.000 0.595 0.250
Tl: 0.405 0.000 0.750
Tl: 0.405 0.405 0.250
Tl: 0.595 0.000 0.250
Tl: 0.595 0.595 0.750